A relaxed structure of YEr12In6, computed with PBE.

It has space group R-3m (No. 166, hexagonal axes), with a = 13.8351 Å, b = 13.8351 Å, c = 11.0427 Å, α = 90.00°, β = 90.00° and γ = 120.00°. The distinct sites, in fractional coordinates, are Y at (0.0000, 0.0000, 0.0000), Er at (0.0000, 0.3755, 0.5000), Er at (0.0884, 0.1768, 0.3554) and In at (0.0299, 0.5149, 0.2716).

Its energy relative to the elements is -38 kJ/mol of formula units. As for the size of the total moment: 0.0 μB per cell. Its crystal system is trigonal. The calculation puts the uncorrected energy at -4.108 eV/atom.

---

A relaxed structure of Y3ErIn2, computed with PBE.

It has space group Pmc2_1 (No. 26), with a = 5.176 Å, b = 9.822 Å, c = 6.721 Å, α = 90.00°, β = 90.00° and γ = 90.00°. The distinct sites, in fractional coordinates, are Y at (0.000, 0.037, 0.000), Y at (0.000, 0.320, 0.349), Y at (0.500, 0.183, 0.721), Er at (0.500, 0.463, 0.070), In at (0.000, 0.358, 0.826) and In at (0.500, 0.141, 0.245).

Its energy relative to the elements is -222 kJ/mol of formula units. As for the size of the total moment: 0.0 μB per cell. Its relative energy among the computed polymorphs is 0.0 meV per atom. Its crystal system is orthorhombic. The calculation puts the uncorrected energy at -5.289 eV/atom.

---

A relaxed structure of Y6ErIn, computed with PBE.

It has space group P4/mmm (No. 123), with a = 4.917 Å, b = 4.917 Å, c = 10.070 Å, α = 90.00°, β = 90.00° and γ = 90.00°. The distinct sites, in fractional coordinates, are Y at (0.000, 0.000, 0.000), Y at (0.000, 0.000, 0.500), Y at (0.000, 0.500, 0.244), Er at (0.500, 0.500, 0.500) and In at (0.500, 0.500, 0.000).

Its energy relative to the elements is -90 kJ/mol of formula units. As for the size of the total moment: 0.0 μB per cell. Its relative energy among the computed polymorphs is 0.0 meV per atom. Its crystal system is tetragonal. The calculation puts the uncorrected energy at -5.878 eV/atom.

---

A relaxed structure of YEr2In, computed with PBE.

It has space group R-3m (No. 166, hexagonal axes), with a = 3.5248 Å, b = 3.5248 Å, c = 32.9810 Å, α = 90.00°, β = 90.00° and γ = 120.00°. The distinct sites, in fractional coordinates, are Y at (0.0000, 0.0000, 0.0000), Er at (0.0000, 0.0000, 0.2456) and In at (0.0000, 0.0000, 0.5000).

Its energy relative to the elements is -55 kJ/mol of formula units. As for the size of the total moment: 0.0 μB per cell. Its relative energy among the computed polymorphs is 122.1 meV per atom. Its crystal system is trigonal. The calculation puts the uncorrected energy at -4.725 eV/atom.

---

A relaxed structure of Y5ErIn3, computed with PBE.

It has space group P6_3/mcm (No. 193), with a = 9.3488 Å, b = 9.3488 Å, c = 6.7376 Å, α = 90.00°, β = 90.00° and γ = 120.00°. The distinct sites, in fractional coordinates, are Y at (0.0000, 0.3310, 0.2500), Y at (0.3333, 0.6667, 0.0000), Er at (0.0000, 0.0000, 0.0000) and In at (0.0000, 0.3349, 0.7500).

Its energy relative to the elements is -335 kJ/mol of formula units. As for the size of the total moment: 1.0 μB per cell. Its crystal system is hexagonal. The calculation puts the uncorrected energy at -5.396 eV/atom.

---

A relaxed structure of Y2ErIn, computed with PBE.

It has space group Cm (No. 8), with a = 12.637 Å, b = 3.841 Å, c = 5.354 Å, α = 90.00°, β = 115.06° and γ = 90.00°. The distinct sites, in fractional coordinates, are Y at (0.000, 0.000, 0.000), Y at (0.223, 0.000, 0.722), Er at (0.276, 0.500, 0.275) and In at (0.498, 0.000, 0.498).

Its energy relative to the elements is -101 kJ/mol of formula units. As for the size of the total moment: 0.0 μB per cell. Its relative energy among the computed polymorphs is 7.1 meV per atom. Its crystal system is monoclinic. The calculation puts the uncorrected energy at -5.320 eV/atom.

---

A relaxed structure of Y3Er4In4, computed with PBE.

It has space group Immm (No. 71), with a = 4.663 Å, b = 8.572 Å, c = 16.494 Å, α = 90.00°, β = 90.00° and γ = 90.00°. The distinct sites, in fractional coordinates, are Y at (0.000, 0.000, 0.000), Y at (0.000, 0.500, 0.118), Er at (0.000, 0.301, 0.330), In at (0.000, 0.000, 0.226) and In at (0.000, 0.177, 0.500).

Its energy relative to the elements is -227 kJ/mol of formula units. As for the size of the total moment: 0.0 μB per cell. Its crystal system is orthorhombic. The calculation puts the uncorrected energy at -4.632 eV/atom.

---

A relaxed structure of YEr3In3, computed with PBE.

It has space group P6_3/m (No. 176), with a = 8.9848 Å, b = 8.9848 Å, c = 5.5254 Å, α = 90.00°, β = 90.00° and γ = 120.00°. The distinct sites, in fractional coordinates, are Y at (0.3333, 0.6667, 0.2500), Er at (0.0960, 0.4553, 0.7500) and In at (0.0482, 0.2343, 0.2500).

Its energy relative to the elements is -139 kJ/mol of formula units. As for the size of the total moment: 0.0 μB per cell. Its relative energy among the computed polymorphs is 102.6 meV per atom. Its crystal system is hexagonal. The calculation puts the uncorrected energy at -4.258 eV/atom.